# 1
Pa2AgBO8 after structural relaxation. Source: the Alexandria database, functional PBE.

POSCAR file:
```
Pa2AgBO8
1.0
4.764 0.000 0.000
-2.382 4.126 0.000
0.000 0.000 7.757
Pa Ag B O
2 1 1 8
Direct
0.333 0.667 0.337
0.667 0.333 0.663
0.000 0.000 0.000
0.000 0.000 0.500
0.162 0.325 0.629
0.162 0.838 0.629
0.325 0.162 0.371
0.333 0.667 0.090
0.667 0.333 0.910
0.675 0.838 0.629
0.838 0.162 0.371
0.838 0.675 0.371
```

SG	No. 164
E_form (uncorrected)	-24.131	eV per formula unit
DOS(E_F)	6.1	states/eV/cell

***

# 2
PaAg2B2O6 after structural relaxation. Source: the Alexandria database, functional PBE.

POSCAR file:
```
PaAg2B2O6
1.0
4.697 -2.767 0.000
4.697 2.767 0.000
-4.656 0.000 6.583
Pa Ag B O
1 2 2 6
Direct
0.000 0.000 0.000
0.410 0.410 0.584
0.590 0.590 0.416
0.251 0.251 0.812
0.749 0.749 0.188
0.104 0.534 0.796
0.122 0.122 0.842
0.466 0.896 0.204
0.534 0.104 0.796
0.878 0.878 0.158
0.896 0.466 0.204
```

SG	No. 12
E_form (uncorrected)	-22.585	eV per formula unit
DOS(E_F)	1.9	states/eV/cell

***

# 3
Ag2BPbO4 after structural relaxation. Source: the Alexandria database, functional PBE.

POSCAR file:
```
Ag2BPbO4
1.0
5.002 0.000 0.000
0.000 5.002 0.000
0.000 0.000 8.890
Ag B Pb O
4 2 2 8
Direct
0.000 0.000 0.000
0.000 0.500 0.250
0.500 0.000 0.750
0.500 0.500 0.500
0.000 0.500 0.750
0.500 0.000 0.250
0.000 0.000 0.500
0.500 0.500 0.000
0.173 0.679 0.656
0.179 0.327 0.844
0.321 0.173 0.344
0.327 0.821 0.156
0.673 0.179 0.156
0.679 0.827 0.344
0.821 0.673 0.844
0.827 0.321 0.656
```

SG	No. 82
E_form (uncorrected)	-7.655	eV per formula unit
DOS(E_F)	7.7	states/eV/cell

***

# 4
AgB2Pb2O6 after structural relaxation. Source: the Alexandria database, functional PBE.

POSCAR file:
```
AgB2Pb2O6
1.0
2.670 1.541 5.952
-2.670 1.541 5.952
0.000 -3.083 5.952
Ag B Pb O
1 2 2 6
Direct
0.000 0.000 0.000
0.420 0.420 0.420
0.580 0.580 0.580
0.211 0.211 0.211
0.789 0.789 0.789
0.272 0.272 0.724
0.272 0.724 0.272
0.276 0.728 0.728
0.724 0.272 0.272
0.728 0.276 0.728
0.728 0.728 0.276
```

SG	No. 166
E_form (uncorrected)	-15.770	eV per formula unit
DOS(E_F)	2.9	states/eV/cell

***

# 5
PmAg2B2O6 after structural relaxation. Source: the Alexandria database, functional PBE.

POSCAR file:
```
PmAg2B2O6
1.0
5.410 0.000 0.000
-2.705 4.685 0.000
0.000 0.000 6.216
Pm Ag B O
1 2 2 6
Direct
0.000 0.000 0.000
0.333 0.667 0.297
0.667 0.333 0.703
0.333 0.667 0.774
0.667 0.333 0.226
0.103 0.392 0.775
0.290 0.897 0.775
0.392 0.290 0.225
0.608 0.710 0.775
0.710 0.103 0.225
0.897 0.608 0.225
```

SG	No. 147
E_form (uncorrected)	-20.468	eV per formula unit
DOS(E_F)	5.2	states/eV/cell

***

# 6
PmAg2BO4 after structural relaxation. Source: the Alexandria database, functional PBE.

POSCAR file:
```
PmAg2BO4
1.0
5.913 0.000 0.000
0.000 5.913 0.000
0.000 0.000 5.811
Pm Ag B O
2 4 2 8
Direct
0.000 0.000 0.000
0.500 0.500 0.500
0.000 0.500 0.250
0.000 0.500 0.750
0.500 0.000 0.250
0.500 0.000 0.750
0.000 0.000 0.500
0.500 0.500 0.000
0.146 0.146 0.348
0.146 0.854 0.652
0.354 0.354 0.848
0.354 0.646 0.152
0.646 0.354 0.152
0.646 0.646 0.848
0.854 0.146 0.652
0.854 0.854 0.348
```

SG	No. 121
E_form (uncorrected)	-13.467	eV per formula unit
DOS(E_F)	0.5	states/eV/cell

***

# 7
AgBPtO5 after structural relaxation. Source: the Alexandria database, functional PBE.

POSCAR file:
```
AgBPtO5
1.0
3.355 -4.166 0.000
3.355 4.166 0.000
-3.243 0.000 6.297
Ag B Pt O
2 2 2 10
Direct
0.146 0.854 0.750
0.854 0.146 0.250
0.192 0.808 0.250
0.808 0.192 0.750
0.500 0.500 0.000
0.500 0.500 0.500
0.108 0.242 0.901
0.188 0.633 0.370
0.242 0.108 0.401
0.367 0.812 0.130
0.399 0.601 0.750
0.601 0.399 0.250
0.633 0.188 0.870
0.758 0.892 0.599
0.812 0.367 0.630
0.892 0.758 0.099
```

SG	No. 15
E_form (uncorrected)	-6.455	eV per formula unit
DOS(E_F)	9.0	states/eV/cell

***

# 8
PuAgB2O8 after structural relaxation. Source: the Alexandria database, functional PBE.

POSCAR file:
```
PuAgB2O8
1.0
4.070 -2.649 0.000
4.070 2.649 0.000
-0.644 0.000 6.846
Pu Ag B O
1 1 2 8
Direct
0.000 0.000 0.000
0.000 0.000 0.500
0.338 0.338 0.760
0.662 0.662 0.240
0.215 0.671 0.787
0.226 0.226 0.922
0.253 0.253 0.568
0.329 0.785 0.213
0.671 0.215 0.787
0.747 0.747 0.432
0.774 0.774 0.078
0.785 0.329 0.213
```

SG	No. 12
E_form (uncorrected)	-19.377	eV per formula unit
DOS(E_F)	4.7	states/eV/cell

***

# 9
PuAgB2O6 after structural relaxation. Source: the Alexandria database, functional PBE.

POSCAR file:
```
PuAgB2O6
1.0
4.773 -4.937 0.000
4.773 4.937 0.000
-0.826 0.000 4.547
Pu Ag B O
2 2 4 12
Direct
0.195 0.805 0.750
0.805 0.195 0.250
0.413 0.587 0.250
0.587 0.413 0.750
0.138 0.291 0.784
0.291 0.138 0.284
0.709 0.862 0.716
0.862 0.709 0.216
0.068 0.683 0.350
0.126 0.214 0.076
0.214 0.126 0.576
0.241 0.480 0.813
0.317 0.932 0.150
0.480 0.241 0.313
0.520 0.759 0.687
0.683 0.068 0.850
0.759 0.520 0.187
0.786 0.874 0.424
0.874 0.786 0.924
0.932 0.317 0.650
```

SG	No. 15
E_form (uncorrected)	-20.263	eV per formula unit
DOS(E_F)	14.5	states/eV/cell

***

# 10
ReAg2BO after structural relaxation. Source: the Alexandria database, functional PBE.

POSCAR file:
```
ReAg2BO
1.0
5.234 0.000 0.000
0.000 5.234 0.000
0.000 0.000 3.680
Re Ag B O
1 2 1 1
Direct
0.000 0.000 0.000
0.000 0.500 0.000
0.500 0.000 0.000
0.500 0.500 0.500
0.000 0.000 0.500
```

SG	No. 123
E_form (uncorrected)	6.153	eV per formula unit
DOS(E_F)	3.9	states/eV/cell

***

# 11
AgBS2O8 after structural relaxation. Source: the Alexandria database, functional PBE.

POSCAR file:
```
AgBS2O8
1.0
3.976 -3.039 0.000
3.976 3.039 0.000
-2.267 0.000 7.672
Ag B S O
1 1 2 8
Direct
0.000 0.000 0.000
0.000 0.000 0.500
0.342 0.342 0.768
0.658 0.658 0.232
0.164 0.164 0.570
0.224 0.630 0.745
0.254 0.254 0.904
0.370 0.776 0.255
0.630 0.224 0.745
0.746 0.746 0.096
0.776 0.370 0.255
0.836 0.836 0.430
```

SG	No. 12
E_form (uncorrected)	-13.813	eV per formula unit
DOS(E_F)	0.0	states/eV/cell

***

# 12
ScAg2B2O6 after structural relaxation. Source: the Alexandria database, functional PBE.

POSCAR file:
```
ScAg2B2O6
1.0
5.203 0.000 0.000
-2.601 4.506 0.000
0.000 0.000 5.994
Sc Ag B O
1 2 2 6
Direct
0.000 0.000 0.000
0.333 0.667 0.291
0.667 0.333 0.709
0.333 0.667 0.793
0.667 0.333 0.207
0.111 0.372 0.791
0.261 0.889 0.791
0.372 0.261 0.209
0.628 0.739 0.791
0.739 0.111 0.209
0.889 0.628 0.209
```

SG	No. 147
E_form (uncorrected)	-20.457	eV per formula unit
DOS(E_F)	4.9	states/eV/cell

***

# 13
ScAg2BO4 after structural relaxation. Source: the Alexandria database, functional PBE.

POSCAR file:
```
ScAg2BO4
1.0
6.016 0.000 0.000
0.000 6.016 0.000
0.000 0.000 5.238
Sc Ag B O
2 4 2 8
Direct
0.000 0.000 0.000
0.500 0.500 0.500
0.000 0.500 0.000
0.000 0.500 0.500
0.500 0.000 0.000
0.500 0.000 0.500
0.000 0.000 0.500
0.500 0.500 0.000
0.140 0.140 0.324
0.140 0.860 0.676
0.360 0.360 0.824
0.360 0.640 0.176
0.640 0.360 0.176
0.640 0.640 0.824
0.860 0.140 0.676
0.860 0.860 0.324
```

SG	No. 121
E_form (uncorrected)	-12.811	eV per formula unit

***

# 14
Ag2BSeO after structural relaxation. Source: the Alexandria database, functional PBE.

POSCAR file:
```
Ag2BSeO
1.0
5.006 0.000 0.000
0.000 5.006 0.000
0.000 0.000 4.163
Ag B Se O
2 1 1 1
Direct
0.000 0.500 0.000
0.500 0.000 0.000
0.000 0.000 0.500
0.000 0.000 0.000
0.500 0.500 0.500
```

SG	No. 123
E_form (uncorrected)	5.983	eV per formula unit
DOS(E_F)	3.2	states/eV/cell

***

# 15
SiAgBO4 after structural relaxation. Source: the Alexandria database, functional PBE.

POSCAR file:
```
SiAgBO4
1.0
4.808 0.000 0.000
0.000 4.808 0.000
0.000 0.000 7.008
Si Ag B O
2 2 2 8
Direct
0.000 0.000 0.000
0.500 0.500 0.500
0.000 0.000 0.500
0.500 0.500 0.000
0.000 0.500 0.250
0.500 0.000 0.750
0.101 0.265 0.131
0.235 0.601 0.369
0.265 0.899 0.869
0.399 0.235 0.631
0.601 0.765 0.631
0.735 0.101 0.869
0.765 0.399 0.369
0.899 0.735 0.131
```

SG	No. 82
E_form (uncorrected)	-14.145	eV per formula unit
DOS(E_F)	0.0	states/eV/cell

***

# 16
SiAg2B2O6 after structural relaxation. Source: the Alexandria database, functional PBE.

POSCAR file:
```
SiAg2B2O6
1.0
4.158 -2.455 0.000
4.158 2.455 0.000
-2.713 0.000 5.680
Si Ag B O
1 2 2 6
Direct
0.000 0.000 0.000
0.194 0.194 0.597
0.806 0.806 0.403
0.407 0.407 0.173
0.593 0.593 0.827
0.235 0.235 0.135
0.253 0.736 0.791
0.264 0.747 0.209
0.736 0.253 0.791
0.747 0.264 0.209
0.765 0.765 0.865
```

SG	No. 12
E_form (uncorrected)	-18.807	eV per formula unit

***

# 17
SmAg2B2O6 after structural relaxation. Source: the Alexandria database, functional PBE.

POSCAR file:
```
SmAg2B2O6
1.0
5.397 0.000 0.000
-2.698 4.674 0.000
0.000 0.000 6.197
Sm Ag B O
1 2 2 6
Direct
0.000 0.000 0.000
0.333 0.667 0.297
0.667 0.333 0.703
0.333 0.667 0.775
0.667 0.333 0.225
0.103 0.391 0.776
0.288 0.897 0.776
0.391 0.288 0.224
0.609 0.712 0.776
0.712 0.103 0.224
0.897 0.609 0.224
```

SG	No. 147
E_form (uncorrected)	-20.521	eV per formula unit
DOS(E_F)	5.2	states/eV/cell

***

# 18
TaAgBO5 after structural relaxation. Source: the Alexandria database, functional PBE.

POSCAR file:
```
TaAgBO5
1.0
3.179 -4.237 0.000
3.179 4.237 0.000
-3.053 0.000 6.742
Ta Ag B O
2 2 2 10
Direct
0.000 0.500 0.000
0.500 0.000 0.500
0.081 0.919 0.750
0.919 0.081 0.250
0.436 0.564 0.750
0.564 0.436 0.250
0.171 0.829 0.250
0.249 0.336 0.146
0.303 0.636 0.897
0.336 0.249 0.646
0.364 0.697 0.603
0.636 0.303 0.397
0.664 0.751 0.354
0.697 0.364 0.103
0.751 0.664 0.854
0.829 0.171 0.750
```

SG	No. 15
E_form (uncorrected)	-15.221	eV per formula unit
DOS(E_F)	4.6	states/eV/cell

***

# 19
TbAg2B2O6 after structural relaxation. Source: the Alexandria database, functional PBE.

POSCAR file:
```
TbAg2B2O6
1.0
5.354 0.000 0.000
-2.677 4.637 0.000
0.000 0.000 6.147
Tb Ag B O
1 2 2 6
Direct
0.000 0.000 0.000
0.333 0.667 0.294
0.667 0.333 0.706
0.333 0.667 0.779
0.667 0.333 0.221
0.105 0.387 0.780
0.281 0.895 0.780
0.387 0.281 0.220
0.613 0.719 0.780
0.719 0.105 0.220
0.895 0.613 0.220
```

SG	No. 147
E_form (uncorrected)	-20.803	eV per formula unit
DOS(E_F)	5.1	states/eV/cell

***

# 20
ThAgB2O6 after structural relaxation. Source: the Alexandria database, functional PBE.

POSCAR file:
```
ThAgB2O6
1.0
3.795 -5.355 0.000
3.795 5.355 0.000
-2.600 0.000 6.537
Th Ag B O
2 2 4 12
Direct
0.080 0.920 0.750
0.920 0.080 0.250
0.410 0.590 0.250
0.590 0.410 0.750
0.095 0.398 0.774
0.398 0.095 0.274
0.602 0.905 0.726
0.905 0.602 0.226
0.008 0.204 0.605
0.014 0.565 0.776
0.204 0.008 0.105
0.263 0.392 0.927
0.392 0.263 0.427
0.435 0.986 0.724
0.565 0.014 0.276
0.608 0.737 0.573
0.737 0.608 0.073
0.796 0.992 0.895
0.986 0.435 0.224
0.992 0.796 0.395
```

SG	No. 15
E_form (uncorrected)	-23.019	eV per formula unit
DOS(E_F)	5.0	states/eV/cell

***

# 21
TlAg2B2O6 after structural relaxation. Source: the Alexandria database, functional PBE.

POSCAR file:
```
TlAg2B2O6
1.0
5.320 0.000 0.000
-2.660 4.607 0.000
0.000 0.000 6.123
Tl Ag B O
1 2 2 6
Direct
0.000 0.000 0.000
0.333 0.667 0.317
0.667 0.333 0.683
0.333 0.667 0.787
0.667 0.333 0.213
0.098 0.388 0.780
0.290 0.902 0.780
0.388 0.290 0.220
0.612 0.710 0.780
0.710 0.098 0.220
0.902 0.612 0.220
```

SG	No. 147
E_form (uncorrected)	-12.878	eV per formula unit
DOS(E_F)	5.5	states/eV/cell

***

Total magnetization list, top to bottom, in μB per formula unit: 0.00 0.00 0.61 1.02 1.03 0.00 0.00 0.81 2.98 0.00 0.00 1.01 0.00 0.51 0.00 0.00 1.03 0.86 1.03 0.00 0.84
VASP energy list, top to bottom, in eV per atom: -7.69 -7.35 -5.45 -6.29 -6.73 -6.30 -5.85 -7.47 -8.06 -4.73 -5.94 -6.87 -6.42 -2.97 -6.99 -6.64 -6.73 -7.67 -6.75 -7.64 -5.82